The following is a GGA-PBE calculation of an optimized crystal structure of ScV3Tc, from Alexandria.

a b c (Å): 4.3134 4.3134 4.3134
angles (deg): 90.00 90.00 90.00
Space group Pm-3m (No. 221)
Symmetry-distinct sites (fractional):
Sc 0.0000 0.0000 0.0000 (multiplicity 1)
V 0.0000 0.0000 0.5000 (multiplicity 3)
Tc 0.5000 0.5000 0.5000 (multiplicity 1)

Results
Energy above the most stable polymorph in this dataset ... 968.8 meV/atom
Fermi-level density of states ... 7.2 states/eV/cell
Calculated total energy ... -7.0831 eV/atom
ΔH_f (0 K) ... 1.728 eV per atom


The following is a GGA-PBE calculation of an optimized crystal structure of Sc2FeTcGe2, from Alexandria.

a b c (Å): 5.4450 13.8895 5.3900
angles (deg): 90.00 90.00 90.00
Space group Ibam (No. 72)
Symmetry-distinct sites (fractional):
Sc 0.2425 0.1710 0.0000 (multiplicity 8)
Fe 0.0000 0.5000 0.2500 (multiplicity 4)
Tc 0.0000 0.0000 0.2500 (multiplicity 4)
Ge 0.2394 0.3774 0.0000 (multiplicity 8)

Results
Fermi-level density of states ... 24.0 states/eV/cell
Calculated total energy ... -7.3265 eV/atom
ΔH_f (0 K) ... -0.539 eV per atom


The following is a GGA-PBE calculation of an optimized crystal structure of Sr3PbBr8, from Alexandria.

a b c (Å): 8.3886 13.7684 8.9158
angles (deg): 90.00 90.00 90.00
Space group C222 (No. 21)
Symmetry-distinct sites (fractional):
Sr 0.0000 0.0000 0.0000 (multiplicity 2)
Sr 0.2500 0.2500 0.7494 (multiplicity 4)
Pb 0.0000 0.0000 0.5000 (multiplicity 2)
Br 0.0000 0.2232 0.0000 (multiplicity 4)
Br 0.0000 0.2228 0.5000 (multiplicity 4)
Br 0.2483 0.0260 0.7497 (multiplicity 8)

Results
Formation energy without anion corrections ... -1.81 eV per atom
Fermi-level density of states ... 0.0 states/eV/cell
Calculated total energy ... -3.6512 eV/atom


The following is a GGA-PBE calculation of an optimized crystal structure of Tl2HPdF6, from Alexandria.

a b c (Å): 5.6765 5.6765 32.8755
angles (deg): 90.00 90.00 120.00
Space group R-3m (No. 166, hexagonal axes)
Symmetry-distinct sites (fractional):
Tl 0.0000 0.0000 0.1168 (multiplicity 6)
Tl 0.0000 0.0000 0.2768 (multiplicity 6)
H 0.0000 0.0000 0.3695 (multiplicity 6)
Pd 0.0000 0.0000 0.0000 (multiplicity 3)
Pd 0.0000 0.0000 0.5000 (multiplicity 3)
F 0.0071 0.5035 0.1326 (multiplicity 18)
F 0.0498 0.5249 0.2961 (multiplicity 18)

Results
Calculated total energy ... -3.9230 eV/atom


The following is a GGA-PBE calculation of an optimized crystal structure of Sm2DyEr3As6, from Alexandria.

a b c (Å): 18.0088 4.1348 8.2621
angles (deg): 90.00 103.22 90.00
Space group C2/m (No. 12)
Symmetry-distinct sites (fractional):
Sm 0.1662 0.0000 0.3325 (multiplicity 4)
Dy 0.0000 0.5000 0.0000 (multiplicity 2)
Er 0.0000 0.5000 0.5000 (multiplicity 2)
Er 0.1670 0.0000 0.8336 (multiplicity 4)
As 0.0021 0.0000 0.7497 (multiplicity 4)
As 0.1648 0.5000 0.5879 (multiplicity 4)
As 0.1669 0.5000 0.0776 (multiplicity 4)

Results
Fermi-level density of states ... 3.6 states/eV/cell
Calculated total energy ... -6.1564 eV/atom
ΔH_f (0 K) ... -1.521 eV per atom


The following is a GGA-PBE calculation of an optimized crystal structure of HoLuHg, from Alexandria.

a b c (Å): 7.1173 7.1173 7.1173
angles (deg): 90.00 90.00 90.00
Space group F-43m (No. 216)
Symmetry-distinct sites (fractional):
Ho 0.0000 0.0000 0.0000 (multiplicity 4)
Lu 0.0000 0.0000 0.5000 (multiplicity 4)
Hg 0.2500 0.2500 0.7500 (multiplicity 4)

Results
Energy above the most stable polymorph in this dataset ... 172.8 meV/atom
Fermi-level density of states ... 9.2 states/eV/cell
Calculated total energy ... -3.2557 eV/atom
ΔH_f (0 K) ... -0.122 eV per atom


The following is a GGA-PBE calculation of an optimized crystal structure of HgTeSe, from Alexandria.

a b c (Å): 2.9141 2.9141 22.2943
angles (deg): 90.00 90.00 90.00
Space group I4mm (No. 107)
Symmetry-distinct sites (fractional):
Hg 0.0000 0.0000 0.0000 (multiplicity 2)
Te 0.0000 0.0000 0.6687 (multiplicity 2)
Se 0.0000 0.0000 0.3492 (multiplicity 2)

Results
Formation energy without anion corrections ... 0.17 eV per atom
Energy above the most stable polymorph in this dataset ... 104.3 meV/atom
Fermi-level density of states ... 3.7 states/eV/cell
Calculated total energy ... -2.1418 eV/atom


The following is a GGA-PBE calculation of an optimized crystal structure of Ac2Al7Ir, from Alexandria.

a b c (Å): 4.3985 4.3985 11.1582
angles (deg): 90.00 90.00 90.00
Space group P-4m2 (No. 115)
Symmetry-distinct sites (fractional):
Ac 0.0000 0.5000 0.2445 (multiplicity 2)
Al 0.0000 0.0000 0.0000 (multiplicity 1)
Al 0.0000 0.0000 0.5000 (multiplicity 1)
Al 0.0000 0.5000 0.6391 (multiplicity 2)
Al 0.0000 0.5000 0.8804 (multiplicity 2)
Al 0.5000 0.5000 0.5000 (multiplicity 1)
Ir 0.5000 0.5000 0.0000 (multiplicity 1)

Results
Fermi-level density of states ... 3.1 states/eV/cell
Calculated total energy ... -4.7855 eV/atom
ΔH_f (0 K) ... -0.458 eV per atom


> The lowest calculated total energy belongs to which entry?

Sc2FeTcGe2


> What is the calculated total energy in the fifth record?

-6.1564 eV/atom


Copy entry 7 word for word.
The following is a GGA-PBE calculation of an optimized crystal structure of HgTeSe, from Alexandria.

a b c (Å): 2.9141 2.9141 22.2943
angles (deg): 90.00 90.00 90.00
Space group I4mm (No. 107)
Symmetry-distinct sites (fractional):
Hg 0.0000 0.0000 0.0000 (multiplicity 2)
Te 0.0000 0.0000 0.6687 (multiplicity 2)
Se 0.0000 0.0000 0.3492 (multiplicity 2)

Results
Formation energy without anion corrections ... 0.17 eV per atom
Energy above the most stable polymorph in this dataset ... 104.3 meV/atom
Fermi-level density of states ... 3.7 states/eV/cell
Calculated total energy ... -2.1418 eV/atom


> Among the records above, which one has the highest calculated total energy?

HgTeSe